1.
5
Lattice="5.2537 0.0000 0.0000 0.0000 4.9271 0.0000 0.0000 0.0000 5.2537" Properties=species:S:1:pos:R:3 comment="Cr2TeRuCl | Alexandria | PBE-GGA | optimized geometry" e_above_lowest_polymorph_kj_per_mol_atoms=0.0 vol_a3_per_atom=27.20 space_group="P4/mmm (123)" magnetic_moment_mub_per_cell=9.56 formation_energy_uncorrected_ev_per_atom=1.117 pbc="T T T"
Ru 0.0000 2.4635 0.0000
Te 0.0000 0.0000 0.0000
Cl 2.6268 2.4635 2.6268
Cr 0.0000 0.0000 2.6268
Cr 2.6268 0.0000 0.0000

***

2.
5
Lattice="-1.3163 -4.9023 0.8601 4.8367 -1.0500 1.4173 -1.1741 1.1704 4.8741" Properties=species:S:1:pos:R:3 comment="Y3NiPd | Alexandria | PBE-GGA | optimized geometry" e_above_lowest_polymorph_kj_per_mol_atoms=36.3 vol_a3_per_atom=27.29 ef_ev_per_atom=-0.106 space_group="Pm-3m (221)" magnetic_moment_mub_per_cell=0.00 pbc="T T T"
Y 2.4184 -0.5250 0.7086
Y -0.5871 0.5852 2.4370
Y -0.6582 -2.4511 0.4301
Ni 0.0000 0.0000 0.0000
Pd 1.1731 -2.3909 3.5757